# 1
## LiPtCl (PBE)

Data for a geometry-optimized LiPtCl structure.

Cell lengths 3.4631, 3.4631, 10.4806 Å; angles 90.00, 90.00, 90.00 degrees
Closest atoms and distances in Å follow each position.
Fractional coordinates of all 6 atoms:
Li (0.2500, 0.2500, 0.1102)  5 Cl 2.46-2.53
Li (0.7500, 0.7500, 0.8898)  5 Cl 2.46-2.53
Pt (0.2500, 0.2500, 0.5337)  4 Pt 2.55
Pt (0.7500, 0.7500, 0.4663)  4 Pt 2.55
Cl (0.2500, 0.2500, 0.8686)  5 Li 2.46-2.53
Cl (0.7500, 0.7500, 0.1314)  5 Li 2.46-2.53

Calculated values
Total moment, Bohr magnetons per cell: 0.000
DFT total energy, eV for the cell shown: -24.56
E_form (uncorrected), meV/atom: -827
Space group: No. 129
Polymorph energy (0 for the lowest one), meV/atom: 0


# 2
## LiGa2Co (PBE)

Data for a geometry-optimized LiGa2Co structure.

Cell lengths 3.9711, 3.9711, 13.7970 Å; angles 90.00, 90.00, 120.00 degrees
Closest atoms and distances in Å follow each position.
Fractional coordinates of all 12 atoms:
Li (0.0000, 0.0000, 0.0000)  1 Co 2.62, 6 Ga 2.66-2.83
Li (0.3333, 0.6667, 0.6667)  1 Co 2.62, 6 Ga 2.66-2.83
Li (0.6667, 0.3333, 0.3333)  1 Co 2.62, 6 Ga 2.66-2.83
Ga (0.0000, 0.0000, 0.2131)  3 Co 2.49
Ga (0.0000, 0.0000, 0.4304)  3 Co 2.38, 3 Li 2.66
Ga (0.3333, 0.6667, 0.0971)  3 Co 2.38, 3 Li 2.66
Ga (0.3333, 0.6667, 0.8798)  3 Co 2.49
Ga (0.6667, 0.3333, 0.5464)  3 Co 2.49
Ga (0.6667, 0.3333, 0.7638)  3 Co 2.38, 3 Li 2.66
Co (0.0000, 0.0000, 0.8102)  6 Ga 2.38-2.49, 1 Li 2.62
Co (0.3333, 0.6667, 0.4769)  6 Ga 2.38-2.49, 1 Li 2.62
Co (0.6667, 0.3333, 0.1436)  6 Ga 2.38-2.49, 1 Li 2.62

Calculated values
Total moment, Bohr magnetons per cell: 0.001
DFT total energy, eV for the cell shown: -46.48
Energy of formation from the pure elements, kcal/mol of atoms: -2.42
Space group: No. 160


# 3
## SnIr3W (PBE)

Data for a geometry-optimized SnIr3W structure.

Cell lengths 4.7379, 4.7379, 4.7379 Å; angles 90.00, 90.00, 90.00 degrees
Closest atoms and distances in Å follow each position.
Fractional coordinates of all 5 atoms:
Sn (0.0000, 0.0000, 0.0000)  6 Ir 2.37
Ir (0.0000, 0.0000, 0.5000)  2 Sn 2.37
Ir (0.0000, 0.5000, 0.0000)  2 Sn 2.37
Ir (0.5000, 0.0000, 0.0000)  2 Sn 2.37
W (0.5000, 0.5000, 0.5000)  12 Ir 3.35

Calculated values
Total moment, Bohr magnetons per cell: 0.000
DFT total energy, eV for the cell shown: -31.65
Energy of formation from the pure elements, kcal/mol of atoms: 54.84
Space group: No. 221
Polymorph energy (0 for the lowest one), meV/atom: 1012


# 4
## Cs2MnH5 (PBE)

Data for a geometry-optimized Cs2MnH5 structure.

Cell lengths 6.4824, 6.4824, 3.8974 Å; angles 90.00, 90.00, 90.00 degrees
Closest atoms and distances in Å follow each position.
Fractional coordinates of all 8 atoms:
Cs (0.0000, 0.5000, 0.0000)  10 H 3.07-3.24
Cs (0.5000, 0.0000, 0.0000)  10 H 3.07-3.24
Mn (0.0000, 0.0000, 0.5000)  4 H 1.69
H (0.0000, 0.0000, 0.0000)  2 Mn 1.95
H (0.1842, 0.1842, 0.5000)  1 Mn 1.69
H (0.1842, 0.8158, 0.5000)  1 Mn 1.69
H (0.8158, 0.1842, 0.5000)  1 Mn 1.69
H (0.8158, 0.8158, 0.5000)  1 Mn 1.69

Calculated values
Total moment, Bohr magnetons per cell: 3.193
DFT total energy, eV for the cell shown: -28.28
Space group: No. 123
Polymorph energy (0 for the lowest one), meV/atom: 8


# 5
## Tl8O3F2 (PBE)

Data for a geometry-optimized Tl8O3F2 structure.

Cell lengths 7.7073, 7.7073, 6.6445 Å; angles 105.59, 105.59, 57.81 degrees
Closest atoms and distances in Å follow each position.
Fractional coordinates of all 13 atoms:
Tl (0.1179, 0.1179, 0.7390)  3 O 2.60-2.69
Tl (0.1397, 0.6414, 0.7700)  1 F 2.52, 2 O 2.56-2.65
Tl (0.3586, 0.8603, 0.2300)  1 F 2.52, 2 O 2.56-2.65
Tl (0.3881, 0.3881, 0.2706)  1 F 2.56, 2 O 2.62
Tl (0.6119, 0.6119, 0.7294)  1 F 2.56, 2 O 2.62
Tl (0.6414, 0.1397, 0.7700)  1 F 2.52, 2 O 2.56-2.65
Tl (0.8603, 0.3586, 0.2300)  1 F 2.52, 2 O 2.56-2.65
Tl (0.8821, 0.8821, 0.2610)  3 O 2.60-2.69
O (0.0000, 0.0000, 0.0000)  6 Tl 2.56-2.69
O (0.2429, 0.7571, 0.5000)  6 Tl 2.60-2.65
O (0.7571, 0.2429, 0.5000)  6 Tl 2.60-2.65
F (0.2307, 0.2307, 0.4095)  3 Tl 2.52-2.56
F (0.7693, 0.7693, 0.5905)  3 Tl 2.52-2.56

Calculated values
Total moment, Bohr magnetons per cell: 0.000
DFT total energy, eV for the cell shown: -49.19
E_form (uncorrected), meV/atom: -896
Space group: No. 12


# 6
## Na5Sb4Pb4 (PBE)

Data for a geometry-optimized Na5Sb4Pb4 structure.

Cell lengths 9.5543, 9.5543, 9.5543 Å; angles 93.68, 93.68, 150.67 degrees
Closest atoms and distances in Å follow each position.
Fractional coordinates of all 13 atoms:
Na (0.0000, 0.0000, 0.0000)  4 Sb 3.19
Na (0.2958, 0.3718, 0.6675)  5 Sb 3.33-3.53, 2 Pb 3.63
Na (0.3718, 0.7042, 0.0760)  5 Sb 3.33-3.53, 2 Pb 3.63
Na (0.6282, 0.2958, 0.9240)  5 Sb 3.33-3.53, 2 Pb 3.63
Na (0.7042, 0.6282, 0.3325)  5 Sb 3.33-3.53, 2 Pb 3.63
Sb (0.0657, 0.2352, 0.3009)  6 Na 3.19-3.53, 3 Pb 3.19-3.21
Sb (0.2352, 0.9343, 0.1695)  6 Na 3.19-3.53, 3 Pb 3.19-3.21
Sb (0.7648, 0.0657, 0.8305)  6 Na 3.19-3.53, 3 Pb 3.19-3.21
Sb (0.9343, 0.7648, 0.6991)  6 Na 3.19-3.53, 3 Pb 3.19-3.21
Pb (0.1070, 0.5898, 0.6968)  3 Sb 3.19-3.21, 4 Pb 3.54
Pb (0.4102, 0.1070, 0.5172)  3 Sb 3.19-3.21, 4 Pb 3.54
Pb (0.5898, 0.8930, 0.4828)  3 Sb 3.19-3.21, 4 Pb 3.54
Pb (0.8930, 0.4102, 0.3032)  3 Sb 3.19-3.21, 4 Pb 3.54

Calculated values
Total moment, Bohr magnetons per cell: 0.000
DFT total energy, eV for the cell shown: -40.62
E_form (uncorrected), meV/atom: -208
Space group: No. 87


# 7
## Ac5Ge2SN (PBE)

Data for a geometry-optimized Ac5Ge2SN structure.

Cell lengths 9.7133, 9.7133, 12.8340 Å; angles 90.00, 90.00, 152.86 degrees
Closest atoms and distances in Å follow each position.
Fractional coordinates of all 18 atoms:
Ac (0.0076, 0.9924, 0.5000)  1 N 2.40
Ac (0.1304, 0.8696, 0.7293)  1 N 2.62
Ac (0.1909, 0.8091, 0.0772)  2 S 3.03, 3 Ge 3.35-3.37
Ac (0.2081, 0.7919, 0.3893)  2 S 3.06, 3 Ge 3.24-3.41
Ac (0.4559, 0.5441, 0.7420)  2 N 2.50
Ac (0.5441, 0.4559, 0.2420)  2 N 2.50
Ac (0.7919, 0.2081, 0.8893)  2 S 3.06, 3 Ge 3.24-3.41
Ac (0.8091, 0.1909, 0.5772)  2 S 3.03, 3 Ge 3.35-3.37
Ac (0.8696, 0.1304, 0.2293)  1 N 2.62
Ac (0.9924, 0.0076, 0.0000)  1 N 2.40
Ge (0.3657, 0.6343, 0.0322)  7 Ac 3.24-3.41
Ge (0.3872, 0.6128, 0.4220)  8 Ac 3.37-3.76
Ge (0.6128, 0.3872, 0.9220)  8 Ac 3.37-3.76
Ge (0.6343, 0.3657, 0.5322)  7 Ac 3.24-3.41
S (0.2930, 0.7070, 0.7304)  6 Ac 3.03-3.08
S (0.7070, 0.2930, 0.2304)  6 Ac 3.03-3.08
N (0.0054, 0.9946, 0.1864)  4 Ac 2.40-2.62
N (0.9946, 0.0054, 0.6864)  4 Ac 2.40-2.62

Calculated values
Total moment, Bohr magnetons per cell: 0.000
DFT total energy, eV for the cell shown: -103.01
E_form (uncorrected), meV/atom: -1031
Space group: No. 36


# 8
## NdPuTlPd (PBE)

Data for a geometry-optimized NdPuTlPd structure.

Cell lengths 7.4767, 7.4767, 7.4767 Å; angles 90.00, 90.00, 90.00 degrees
Closest atoms and distances in Å follow each position.
Fractional coordinates of all 16 atoms:
Nd (0.0000, 0.0000, 0.0000)  4 Tl 3.24, 4 Pd 3.24
Nd (0.0000, 0.5000, 0.5000)  4 Tl 3.24, 4 Pd 3.24
Nd (0.5000, 0.0000, 0.5000)  4 Tl 3.24, 4 Pd 3.24
Nd (0.5000, 0.5000, 0.0000)  4 Tl 3.24, 4 Pd 3.24
Pu (0.0000, 0.0000, 0.5000)  4 Tl 3.24, 4 Pd 3.24
Pu (0.0000, 0.5000, 0.0000)  4 Tl 3.24, 4 Pd 3.24
Pu (0.5000, 0.0000, 0.0000)  4 Tl 3.24, 4 Pd 3.24
Pu (0.5000, 0.5000, 0.5000)  4 Tl 3.24, 4 Pd 3.24
Tl (0.2500, 0.2500, 0.7500)  4 Nd 3.24, 4 Pu 3.24
Tl (0.2500, 0.7500, 0.2500)  4 Nd 3.24, 4 Pu 3.24
Tl (0.7500, 0.2500, 0.2500)  4 Nd 3.24, 4 Pu 3.24
Tl (0.7500, 0.7500, 0.7500)  4 Nd 3.24, 4 Pu 3.24
Pd (0.2500, 0.2500, 0.2500)  4 Nd 3.24, 4 Pu 3.24
Pd (0.2500, 0.7500, 0.7500)  4 Nd 3.24, 4 Pu 3.24
Pd (0.7500, 0.2500, 0.7500)  4 Nd 3.24, 4 Pu 3.24
Pd (0.7500, 0.7500, 0.2500)  4 Nd 3.24, 4 Pu 3.24

Calculated values
Total moment, Bohr magnetons per cell: 22.993
DFT total energy, eV for the cell shown: -110.70
Energy of formation from the pure elements, kcal/mol of atoms: -5.86
Space group: No. 216


# 9
## CeNpPa2As4 (PBE)

Data for a geometry-optimized CeNpPa2As4 structure.

Cell lengths 7.1460, 4.1294, 7.1471 Å; angles 90.00, 109.53, 90.00 degrees
Closest atoms and distances in Å follow each position.
Fractional coordinates of all 8 atoms:
Ce (0.0000, 0.0000, 0.0000)  6 As 2.95
Np (0.5000, 0.5000, 0.0000)  6 As 2.93
Pa (0.0000, 0.5000, 0.5000)  6 As 2.91
Pa (0.5000, 0.0000, 0.5000)  6 As 2.89
As (0.2511, 0.0000, 0.7462)  3 Pa 2.89-2.91, 2 Np 2.93, 1 Ce 2.95
As (0.2540, 0.5000, 0.2560)  3 Pa 2.89-2.91, 1 Np 2.93, 2 Ce 2.95
As (0.7460, 0.5000, 0.7440)  3 Pa 2.89-2.91, 1 Np 2.93, 2 Ce 2.95
As (0.7489, 0.0000, 0.2538)  3 Pa 2.89-2.91, 2 Np 2.93, 1 Ce 2.95

Calculated values
Total moment, Bohr magnetons per cell: 4.875
DFT total energy, eV for the cell shown: -64.94
Energy of formation from the pure elements, kcal/mol of atoms: -24.43
Space group: No. 10


# 10
## FeTcTe2 (PBE)

Data for a geometry-optimized FeTcTe2 structure.

Cell lengths 3.8120, 3.8133, 6.7209 Å; angles 90.00, 90.14, 90.00 degrees
Closest atoms and distances in Å follow each position.
Fractional coordinates of all 4 atoms:
Fe (0.0000, 0.0000, 0.0000)  4 Te 2.63-2.64, 4 Tc 2.70
Tc (0.4999, 0.5000, 0.0001)  4 Te 2.63-2.64, 4 Fe 2.70
Te (0.5013, 0.0000, 0.2708)  2 Fe 2.63-2.64, 2 Tc 2.64
Te (0.9987, 0.5000, 0.7294)  2 Tc 2.63-2.64, 2 Fe 2.63

Calculated values
Total moment, Bohr magnetons per cell: 2.518
DFT total energy, eV for the cell shown: -25.17
E_form (uncorrected), meV/atom: -14
Space group: No. 6
Polymorph energy (0 for the lowest one), meV/atom: 0